Here is a relaxed KTc2P crystal from Alexandria. Energies are from PBE.

Space group: Pmm2
E_form: 0.291 eV/atom

abc: 2.860 3.771 7.493
angles: 90.00 90.00 90.00
Sites, in units of the cell vectors:
K  0.000  0.000  0.525
P  0.500  0.500  0.834
Tc  0.000  0.000  0.997
Tc  0.500  0.500  0.144

=====

Here is a relaxed KTc2P2 crystal from Alexandria. Energies are from PBE.

Distance to the lowest polymorph of the same formula: 0.000 eV/atom
Space group: P4/mmm
E_form: -0.144 eV/atom

abc: 3.849 3.849 6.850
angles: 90.00 90.00 90.00
Sites, in units of the cell vectors:
K  0.000  0.000  0.000
Tc  0.500  0.000  0.500
Tc  0.000  0.500  0.500
P  0.500  0.500  0.721
P  0.500  0.500  0.279

=====

Here is a relaxed KTc2P crystal from Alexandria. Energies are from PBE.

Space group: P4/mmm
E_form: 1.306 eV/atom

abc: 4.268 3.967 3.967
angles: 90.00 90.00 90.00
Sites, in units of the cell vectors:
K  0.500  0.500  0.000
P  0.500  0.000  0.500
Tc  0.000  0.000  0.000
Tc  0.000  0.500  0.500

=====

Here is a relaxed KTcP crystal from Alexandria. Energies are from PBE.

Distance to the lowest polymorph of the same formula: 1.312 eV/atom
Space group: P-6m2
E_form: 0.917 eV/atom

abc: 4.901 4.901 2.647
angles: 90.00 90.00 120.00
Sites, in units of the cell vectors:
K  0.000  0.000  0.000
P  0.667  0.333  0.500
Tc  0.333  0.667  0.500

=====

Here is a relaxed KTc2P crystal from Alexandria. Energies are from PBE.

Space group: Cmmm
E_form: 0.582 eV/atom

abc: 2.892 2.892 9.389
angles: 90.00 90.00 116.05
Sites, in units of the cell vectors:
K  0.500  0.500  0.250
P  0.500  0.500  0.750
Tc  0.000  0.000  0.936
Tc  0.000  0.000  0.564

=====

Here is a relaxed K2TcP crystal from Alexandria. Energies are from PBE.

Space group: P2/m
E_form: 0.416 eV/atom

abc: 4.851 8.343 8.363
angles: 31.50 90.00 90.00
Sites, in units of the cell vectors:
K  0.000  0.125  0.127
K  0.000  0.375  0.373
P  0.500  0.250  0.250
Tc  0.500  0.750  0.750

=====

Here is a relaxed KTc2P crystal from Alexandria. Energies are from PBE.

Space group: I4_1/amd
E_form: 0.717 eV/atom

abc: 4.822 4.822 9.007
angles: 74.47 74.47 90.00
Sites, in units of the cell vectors:
P  0.500  0.500  0.000
P  0.250  0.750  0.500
K  0.000  0.000  0.000
K  0.750  0.250  0.500
Tc  0.375  0.125  0.250
Tc  0.375  0.625  0.250
Tc  0.375  0.625  0.750
Tc  0.875  0.625  0.750

=====

Here is a relaxed KTcP2 crystal from Alexandria. Energies are from PBE.

Distance to the lowest polymorph of the same formula: 0.092 eV/atom
Space group: Imm2
E_form: -0.193 eV/atom

abc: 8.151 8.151 8.151
angles: 158.70 156.35 32.04
Sites, in units of the cell vectors:
K  0.692  0.192  0.500
P  0.019  0.019  0.000
P  0.337  0.837  0.500
Tc  0.453  0.453  0.000

=====

Here is a relaxed KTc2P crystal from Alexandria. Energies are from PBE.

Space group: Cmm2
E_form: 0.555 eV/atom

abc: 2.826 2.826 9.589
angles: 90.00 90.00 113.29
Sites, in units of the cell vectors:
K  0.000  0.000  0.515
P  0.500  0.500  0.795
Tc  0.000  0.000  0.983
Tc  0.500  0.500  0.206

=====

Here is a relaxed KTc2P crystal from Alexandria. Energies are from PBE.

Space group: Cmmm
E_form: 1.270 eV/atom

abc: 5.825 5.825 2.513
angles: 90.00 90.00 123.66
Sites, in units of the cell vectors:
K  0.500  0.000  0.500
P  0.000  0.500  0.500
Tc  0.000  0.000  0.000
Tc  0.500  0.500  0.000

=====

Here is a relaxed KTc2P crystal from Alexandria. Energies are from PBE.

Space group: R3m
E_form: 0.385 eV/atom

abc: 9.619 9.619 9.619
angles: 17.75 17.75 17.75
Sites, in units of the cell vectors:
K  0.494  0.494  0.494
P  0.732  0.732  0.732
Tc  0.007  0.007  0.007
Tc  0.267  0.267  0.267

=====

Here is a relaxed K2TcP crystal from Alexandria. Energies are from PBE.

Space group: C2/m
E_form: 0.861 eV/atom

abc: 6.043 5.944 3.328
angles: 89.72 57.24 110.91
Sites, in units of the cell vectors:
K  0.000  0.000  0.000
K  0.500  0.000  0.500
P  0.000  0.500  0.500
Tc  0.500  0.500  0.000

=====

Here is a relaxed KTcP2 crystal from Alexandria. Energies are from PBE.

Distance to the lowest polymorph of the same formula: 0.299 eV/atom
Space group: P4mm
E_form: 0.013 eV/atom

abc: 3.160 3.159 8.517
angles: 90.00 90.00 90.00
Sites, in units of the cell vectors:
K  0.500  0.500  0.766
P  0.000  0.000  0.033
P  0.500  0.500  0.404
Tc  0.000  0.000  0.297

=====

Here is a relaxed KTcP crystal from Alexandria. Energies are from PBE.

Distance to the lowest polymorph of the same formula: 0.415 eV/atom
Space group: I4mm
E_form: 0.020 eV/atom

abc: 6.522 6.522 6.522
angles: 151.42 151.41 40.87
Sites, in units of the cell vectors:
K  0.998  0.998  0.000
P  0.280  0.280  0.000
Tc  0.723  0.723  0.000

=====

Here is a relaxed KTc3P crystal from Alexandria. Energies are from PBE.

Distance to the lowest polymorph of the same formula: 2.354 eV/atom
Space group: Pm-3m
E_form: 3.283 eV/atom

abc: 4.541 4.541 4.541
angles: 90.00 90.00 90.00
Sites, in units of the cell vectors:
P  0.500  0.500  0.500
K  0.000  0.000  0.000
Tc  0.000  0.500  0.000
Tc  0.000  0.000  0.500
Tc  0.500  0.000  0.000